The following is a PBE calculation of a relaxed structure of Cu3RePt, from Alexandria.

a = 4.624 Å, b = 4.624 Å, c = 4.624 Å
α = 90.00°, β = 90.00°, γ = 90.00°
Fractional coordinates of all 5 atoms:
Cu: 0.000 0.000 0.500
Cu: 0.000 0.500 0.000
Cu: 0.500 0.000 0.000
Re: 0.500 0.500 0.500
Pt: 0.000 0.000 0.000

Computed properties:
As for the calculated volume: 98.8 Å³/f.u. Its crystal system is cubic. The value obtained for the formation energy from the elements is 1.6405 eV per atom. The space-group type is Pm-3m. As for the density: 9.608 g/cm³. The calculation puts the density of states at the Fermi level at 3.7 states/eV/f.u. The magnetization comes out at 0.85 μB/atom.


The following is a PBE calculation of a relaxed structure of CuRePt, from Alexandria.

a = 4.359 Å, b = 2.740 Å, c = 14.436 Å
α = 90.00°, β = 90.00°, γ = 90.00°
Fractional coordinates of all 12 atoms:
Cu: 0.000 0.000 0.000
Cu: 0.000 0.000 0.334
Cu: 0.000 0.500 0.500
Cu: 0.000 0.500 0.834
Re: 0.000 0.000 0.667
Re: 0.000 0.500 0.167
Re: 0.500 0.000 0.108
Re: 0.500 0.500 0.608
Pt: 0.500 0.000 0.448
Pt: 0.500 0.000 0.779
Pt: 0.500 0.500 0.279
Pt: 0.500 0.500 0.948

Computed properties:
As for the calculated volume: 43.1 Å³/f.u. Its crystal system is orthorhombic. The value obtained for the formation energy from the elements is -0.0198 eV per atom. The space-group type is Amm2. As for the density: 17.137 g/cm³. The calculation puts the density of states at the Fermi level at 1.9 states/eV/f.u. The magnetization comes out at 0.00 μB/atom.


The following is a PBE calculation of a relaxed structure of CuRePt, from Alexandria.

a = 2.756 Å, b = 2.756 Å, c = 11.297 Å
α = 90.00°, β = 90.00°, γ = 90.00°
Fractional coordinates of all 6 atoms:
Cu: 0.000 0.000 0.000
Cu: 0.500 0.500 0.500
Re: 0.000 0.000 0.336
Re: 0.500 0.500 0.836
Pt: 0.000 0.000 0.670
Pt: 0.500 0.500 0.170

Computed properties:
As for the calculated volume: 42.9 Å³/f.u. Its crystal system is tetragonal. The value obtained for the formation energy from the elements is 0.0844 eV per atom. The space-group type is I4mm. As for the density: 17.216 g/cm³. The calculation puts the density of states at the Fermi level at 2.8 states/eV/f.u. The magnetization comes out at 0.00 μB/atom.


The following is a PBE calculation of a relaxed structure of CuRePt, from Alexandria.

a = 2.698 Å, b = 3.932 Å, c = 8.034 Å
α = 90.00°, β = 90.00°, γ = 90.00°
Fractional coordinates of all 6 atoms:
Cu: 0.000 0.000 0.000
Cu: 0.500 0.500 0.500
Re: 0.000 0.000 0.662
Re: 0.500 0.500 0.162
Pt: 0.000 0.000 0.330
Pt: 0.500 0.500 0.830

Computed properties:
As for the calculated volume: 42.6 Å³/f.u. Its crystal system is orthorhombic. The value obtained for the formation energy from the elements is 0.1152 eV per atom. The space-group type is Imm2. As for the density: 17.335 g/cm³. The calculation puts the density of states at the Fermi level at 2.7 states/eV/f.u. The magnetization comes out at 0.00 μB/atom.


Across the entries above, uncorrected energy takes the values -4.51, -7.55, -7.44, -7.41 eV/atom, respectively.